(1)
Computed, not measured: a geometry-optimized La2ScGaRu structure at the PBE level of DFT.

The calculation puts the density of states at the Fermi level at 5.1 states/eV per cell. As for the formation energy: 343 meV/atom.

It has space group P4/mmm (No. 123), with a = 5.759 Å, b = 5.759 Å, c = 4.616 Å, α = 90.00°, β = 90.00° and γ = 90.00°. The distinct sites, in fractional coordinates, are La at (0.000, 0.500, 0.000), Sc at (0.000, 0.000, 0.500), Ga at (0.500, 0.500, 0.000) and Ru at (0.500, 0.500, 0.500).



(2)
Computed, not measured: a geometry-optimized BaReO4 structure at the PBE level of DFT.

The calculation puts the density of states at the Fermi level at 5.3 states/eV per cell. The formation energy without anion corrections is -2.01 eV/atom. For the energy above the most stable polymorph in this dataset, the calculation gives 62.6 meV per atom.

It has space group P2_1/c (No. 14), with a = 5.944 Å, b = 5.602 Å, c = 5.289 Å, α = 90.00°, β = 90.51° and γ = 90.00°. The distinct sites, in fractional coordinates, are Ba at (0.000, 0.000, 0.000), Re at (0.500, 0.000, 0.500), O at (0.204, 0.098, 0.496) and O at (0.418, 0.749, 0.250).



(3)
Computed, not measured: a geometry-optimized ScPd3O structure at the PBE level of DFT.

The calculation puts the density of states at the Fermi level at 5.2 states/eV per cell. The formation energy without anion corrections is 0.94 eV/atom. For the energy above the most stable polymorph in this dataset, the calculation gives 1335.4 meV per atom.

It has space group Pm-3m (No. 221), with a = 4.750 Å, b = 4.750 Å, c = 4.750 Å, α = 90.00°, β = 90.00° and γ = 90.00°. The distinct sites, in fractional coordinates, are Sc at (0.000, 0.000, 0.000), Pd at (0.000, 0.000, 0.500) and O at (0.500, 0.500, 0.500).



(4)
Computed, not measured: a geometry-optimized MgSi2Au structure at the PBE level of DFT.

The calculation puts the density of states at the Fermi level at 2.7 states/eV per cell. The formation energy without anion corrections is 0.12 eV/atom.

It has space group Cmmm (No. 65), with a = 5.523 Å, b = 7.695 Å, c = 3.233 Å, α = 90.00°, β = 90.00° and γ = 90.00°. The distinct sites, in fractional coordinates, are Mg at (0.000, 0.000, 0.000), Si at (0.250, 0.250, 0.500) and Au at (0.000, 0.500, 0.000).



(5)
Computed, not measured: a geometry-optimized TcSnO structure at the PBE level of DFT.

The calculation puts the density of states at the Fermi level at 3.2 states/eV per cell. The formation energy without anion corrections is -0.38 eV/atom.

It has space group P-1 (No. 2), with a = 3.204 Å, b = 4.255 Å, c = 7.187 Å, α = 77.67°, β = 79.63° and γ = 89.43°. The distinct sites, in fractional coordinates, are Tc at (0.075, 0.308, 0.406), Sn at (0.340, 0.199, 0.787) and O at (0.205, 0.142, 0.114).



(6)
Computed, not measured: a geometry-optimized KScTe structure at the PBE level of DFT.

The calculation puts the density of states at the Fermi level at 2.9 states/eV per cell. The formation energy without anion corrections is -0.49 eV/atom. For the energy above the most stable polymorph in this dataset, the calculation gives 263.0 meV per atom.

It has space group P3m1 (No. 156), with a = 4.1546 Å, b = 4.1546 Å, c = 7.6370 Å, α = 90.00°, β = 90.00° and γ = 120.00°. The distinct sites, in fractional coordinates, are K at (0.0000, 0.0000, 0.0000), Sc at (0.6667, 0.3333, 0.4544) and Te at (0.3333, 0.6667, 0.6582).



Q: Which spin magnetization values were calculated for the entries above? A: 0.000; 0.000; 0.000; 0.000; 0.000; 0.569, in μB/f.u..